[1]
Computed, not measured: a geometry-optimized Tl7Sn structure at the PBE level of DFT.

Cell: 5.403 5.403 9.194 Å, 107.09 107.09 90.00°
Atoms (fractional coordinates):
Tl: 0.751 0.751 0.502
Tl: 0.379 0.879 0.758
Tl: 0.121 0.621 0.242
Tl: 0.621 0.121 0.242
Tl: 0.500 0.500 0.000
Tl: 0.879 0.379 0.758
Tl: 0.249 0.249 0.498
Sn: 0.000 0.000 0.000

Calculated values
ΔH_f (0 K), kJ/mol of atoms: 1.3

[2]
Computed, not measured: a geometry-optimized TlSn2 structure at the PBE level of DFT.

Cell: 3.448 4.229 6.609 Å, 108.66 105.12 90.00°
Atoms (fractional coordinates):
Tl: 0.000 0.000 0.000
Sn: 0.680 0.680 0.360
Sn: 0.320 0.320 0.640

Calculated values
ΔH_f (0 K), kJ/mol of atoms: 3.9

[3]
Computed, not measured: a geometry-optimized TlSn2 structure at the PBE level of DFT.

Cell: 6.352 6.352 6.352 Å, 60.00 60.00 60.00°
Atoms (fractional coordinates):
Sn: 0.625 0.625 0.125
Sn: 0.625 0.125 0.625
Sn: 0.125 0.625 0.625
Sn: 0.625 0.625 0.625
Tl: 0.250 0.250 0.250
Tl: 0.000 0.000 0.000

Calculated values
ΔH_f (0 K), kJ/mol of atoms: 3.8

[4]
Computed, not measured: a geometry-optimized TlSn4 structure at the PBE level of DFT.

Cell: 3.293 5.269 8.889 Å, 107.24 100.68 90.00°
Atoms (fractional coordinates):
Sn: 0.615 0.615 0.231
Sn: 0.385 0.385 0.769
Sn: 0.198 0.198 0.396
Sn: 0.802 0.802 0.604
Tl: 0.000 0.000 0.000

Calculated values
ΔH_f (0 K), kJ/mol of atoms: 5.1

[5]
Computed, not measured: a geometry-optimized Tl5Sn6 structure at the PBE level of DFT.

Cell: 5.638 8.650 8.632 Å, 120.09 109.09 89.94°
Atoms (fractional coordinates):
Sn: 0.116 0.291 0.233
Sn: 0.500 0.178 0.000
Sn: 0.117 0.942 0.233
Sn: 0.883 0.058 0.767
Sn: 0.500 0.822 0.000
Sn: 0.884 0.709 0.767
Tl: 0.358 0.358 0.715
Tl: 0.279 0.779 0.558
Tl: 0.721 0.221 0.442
Tl: 0.642 0.642 0.285
Tl: 0.000 0.500 0.000

Calculated values
ΔH_f (0 K), kJ/mol of atoms: 6.3

[6]
Computed, not measured: a geometry-optimized Tl6Sn structure at the PBE level of DFT.

Cell: 6.595 6.595 10.370 Å, 90.00 90.00 90.00°
Atoms (fractional coordinates):
Tl: 0.000 0.000 0.142
Tl: 0.672 0.828 0.647
Tl: 0.500 0.500 0.142
Tl: 0.000 0.000 0.858
Tl: 0.500 0.500 0.858
Tl: 0.172 0.672 0.647
Tl: 0.672 0.172 0.353
Tl: 0.828 0.328 0.647
Tl: 0.328 0.172 0.647
Tl: 0.328 0.828 0.353
Tl: 0.172 0.328 0.353
Tl: 0.828 0.672 0.353
Sn: 0.000 0.500 0.000
Sn: 0.500 0.000 0.000

Calculated values
ΔH_f (0 K), kJ/mol of atoms: 12.6